i.
Density functional theory data (PBE-GGA) for crystalline La4Ru3 at its relaxed geometry.

Its volume is 23.43 Å³/atom. Its calculated density is 8.69 g/cm³.

Structure (CIF):
```
data_La4Ru3
_chemical_formula_sum 'La4 Ru3'
_cell_length_a 5.4877
_cell_length_b 5.4877
_cell_length_c 6.2893
_cell_angle_alpha 90.00
_cell_angle_beta 90.00
_cell_angle_gamma 120.00
_space_group_name_H-M_alt 'P 6/m m m'
_space_group_IT_number 191
_space_group_name_Hall '-P 6 2'
loop_
_atom_site_label
_atom_site_fract_x
_atom_site_fract_y
_atom_site_fract_z
La1 0.0000 0.0000 0.2320
La2 0.3333 0.6667 0.5000
Ru1 0.0000 0.5000 0.0000
```

ii.
Density functional theory data (PBE-GGA) for crystalline La4Ru3 at its relaxed geometry.

Its volume is 26.42 Å³/atom. Its calculated density is 7.71 g/cm³.

Structure (CIF):
```
data_La4Ru3
_chemical_formula_sum 'La8 Ru6'
_cell_length_a 3.879
_cell_length_b 3.879
_cell_length_c 24.581
_cell_angle_alpha 90.00
_cell_angle_beta 90.00
_cell_angle_gamma 90.00
_space_group_name_H-M_alt 'I 4/m m m'
_space_group_IT_number 139
_space_group_name_Hall '-I 4 2'
loop_
_atom_site_label
_atom_site_fract_x
_atom_site_fract_y
_atom_site_fract_z
La1 0.000 0.000 0.067
La2 0.000 0.000 0.307
Ru1 0.000 0.000 0.174
Ru2 0.000 0.000 0.500
```

On energetic grounds, ii is preferred over the next structure by 17.0 kJ/mol of atoms.

i.
Density functional theory data (PBE-GGA) for crystalline LaRuS2 at its relaxed geometry.

Its volume is 19.50 Å³/atom. Its calculated density is 6.47 g/cm³.

Structure (CIF):
```
data_LaRuS2
_chemical_formula_sum 'La4 Ru4 S8'
_cell_length_a 6.782
_cell_length_b 6.782
_cell_length_c 6.782
_cell_angle_alpha 90.00
_cell_angle_beta 90.00
_cell_angle_gamma 90.00
_space_group_name_H-M_alt 'F m -3 m'
_space_group_IT_number 225
_space_group_name_Hall '-F 4 2 3'
loop_
_atom_site_label
_atom_site_fract_x
_atom_site_fract_y
_atom_site_fract_z
La1 0.000 0.000 0.000
Ru1 0.000 0.000 0.500
S1 0.250 0.250 0.250
```

ii.
Density functional theory data (PBE-GGA) for crystalline LaRuS2 at its relaxed geometry.

Its volume is 30.56 Å³/atom. Its calculated density is 4.13 g/cm³.

Structure (CIF):
```
data_LaRuS2
_chemical_formula_sum 'La3 Ru3 S6'
_cell_length_a 4.3968
_cell_length_b 4.3968
_cell_length_c 21.9054
_cell_angle_alpha 90.00
_cell_angle_beta 90.00
_cell_angle_gamma 120.00
_space_group_name_H-M_alt 'R -3 m'
_space_group_IT_number 166
_space_group_name_Hall '-R 3 2"'
loop_
_atom_site_label
_atom_site_fract_x
_atom_site_fract_y
_atom_site_fract_z
La1 0.0000 0.0000 0.0000
Ru1 0.0000 0.0000 0.5000
S1 0.0000 0.0000 0.3951
```

On energetic grounds, i is preferred over the next structure by 19.4 kJ/mol of atoms.

i.
Density functional theory data (PBE-GGA) for crystalline LaRu3S at its relaxed geometry.

Its volume is 23.36 Å³/atom. Its calculated density is 6.74 g/cm³.

Structure (CIF):
```
data_LaRu3S
_chemical_formula_sum 'La1 Ru3 S1'
_cell_length_a 4.888
_cell_length_b 4.888
_cell_length_c 4.888
_cell_angle_alpha 90.00
_cell_angle_beta 90.00
_cell_angle_gamma 90.00
_space_group_name_H-M_alt 'P m -3 m'
_space_group_IT_number 221
_space_group_name_Hall '-P 4 2 3'
loop_
_atom_site_label
_atom_site_fract_x
_atom_site_fract_y
_atom_site_fract_z
La1 0.000 0.000 0.000
Ru1 0.000 0.000 0.500
S1 0.500 0.500 0.500
```

ii.
Density functional theory data (PBE-GGA) for crystalline LaRu3S at its relaxed geometry.

Its volume is 17.97 Å³/atom. Its calculated density is 8.77 g/cm³.

Structure (CIF):
```
data_LaRu3S
_chemical_formula_sum 'La1 Ru3 S1'
_cell_length_a 4.479
_cell_length_b 4.479
_cell_length_c 4.479
_cell_angle_alpha 90.00
_cell_angle_beta 90.00
_cell_angle_gamma 90.00
_space_group_name_H-M_alt 'P m -3 m'
_space_group_IT_number 221
_space_group_name_Hall '-P 4 2 3'
loop_
_atom_site_label
_atom_site_fract_x
_atom_site_fract_y
_atom_site_fract_z
La1 0.000 0.000 0.000
Ru1 0.000 0.500 0.500
S1 0.500 0.500 0.500
```

On energetic grounds, ii is preferred over the next structure by 206.9 kJ/mol of atoms.